First-principles (PBE) data for a relaxed structure of Li3Nd2Hg4, as listed in Alexandria via LeMat-Bulk.

Output
DFT total energy	-2.210	eV per atom
excess energy over the best structure of this formula in the dataset	0.003	eV per atom

Cell and atoms, written as CIF:
```
data_Li3Nd2Hg4
_space_group_name_H-M_alt 'C m c e'
_space_group_IT_number 64
_space_group_name_Hall '-C 2ac 2'
_cell_length_a 6.182
_cell_length_b 16.000
_cell_length_c 8.323
_cell_angle_alpha 90.00
_cell_angle_beta 90.00
_cell_angle_gamma 90.00
loop_
_atom_site_label
_atom_site_type_symbol
_atom_site_fract_x
_atom_site_fract_y
_atom_site_fract_z
Li1 Li 0.000 0.000 0.000
Li2 Li 0.250 0.217 0.250
Nd1 Nd 0.000 0.117 0.580
Hg1 Hg 0.000 0.183 0.962
Hg2 Hg 0.250 0.046 0.250
```